*a*
The following is a DFT calculation (GGA-PBE) of crystalline HfScTeN2 at its relaxed geometry.

a = 4.1359 Å, b = 4.1359 Å, c = 5.4869 Å
α = 90.00°, β = 90.00°, γ = 90.00°
Closest atoms and distances in Å follow each position.
Element x y z (fractional)
Sc 0.0000 0.0000 0.0000  4 N 2.07
Te 0.0000 0.0000 0.5000  2 Sc 2.74, 4 Hf 2.92
Hf 0.5000 0.5000 0.5000  4 Te 2.92
N 0.0000 0.5000 0.0000  2 Sc 2.07
N 0.5000 0.0000 0.0000  2 Sc 2.07

Output
Calculated density, g cm⁻³: 6.71
Magnetization, μB per formula unit: 0.56


*b*
The following is a DFT calculation (GGA-PBE) of crystalline HfScTeN2 at its relaxed geometry.

a = 4.1675 Å, b = 4.1675 Å, c = 5.7263 Å
α = 90.00°, β = 90.00°, γ = 90.00°
Closest atoms and distances in Å follow each position.
Element x y z (fractional)
Sc 0.5000 0.5000 0.5000  4 Te 2.95
Te 0.0000 0.0000 0.5000  2 Hf 2.86, 4 Sc 2.95
Hf 0.0000 0.0000 0.0000  4 N 2.08
N 0.0000 0.5000 0.0000  2 Hf 2.08
N 0.5000 0.0000 0.0000  2 Hf 2.08

Output
Calculated density, g cm⁻³: 6.33
Magnetization, μB per formula unit: 0.01


The most stable arrangement is *b*, and the next structure is 61.6 kJ/mol of atoms less stable.


*a*
The following is a DFT calculation (GGA-PBE) of crystalline Hf2ScTiN at its relaxed geometry.

a = 4.4656 Å, b = 4.4656 Å, c = 4.4099 Å
α = 90.00°, β = 90.00°, γ = 90.00°
Closest atoms and distances in Å follow each position.
Element x y z (fractional)
Sc 0.0000 0.0000 0.5000  2 N 2.20
N 0.0000 0.0000 0.0000  2 Sc 2.20, 4 Hf 2.23
Hf 0.0000 0.5000 0.0000  2 N 2.23
Hf 0.5000 0.0000 0.0000  2 N 2.23
Ti 0.5000 0.5000 0.5000  8 Hf 3.14, 4 Sc 3.16

Output
Calculated density, g cm⁻³: 8.76
Magnetization, μB per formula unit: 0.00


*b*
The following is a DFT calculation (GGA-PBE) of crystalline Hf2ScTiN at its relaxed geometry.

a = 4.5549 Å, b = 4.5549 Å, c = 4.1827 Å
α = 90.00°, β = 90.00°, γ = 90.00°
Closest atoms and distances in Å follow each position.
Element x y z (fractional)
Sc 0.5000 0.5000 0.5000  8 Hf 3.09, 4 Ti 3.22
N 0.0000 0.0000 0.0000  2 Ti 2.09, 4 Hf 2.28
Hf 0.0000 0.5000 0.0000  2 N 2.28
Hf 0.5000 0.0000 0.0000  2 N 2.28
Ti 0.0000 0.0000 0.5000  2 N 2.09

Output
Calculated density, g cm⁻³: 8.88
Magnetization, μB per formula unit: 0.00


The most stable arrangement is *b*, and the next structure is 0.9 kJ/mol of atoms less stable.


*a*
The following is a DFT calculation (GGA-PBE) of crystalline Hf2ZrScN at its relaxed geometry.

a = 4.5180 Å, b = 4.5180 Å, c = 4.5199 Å
α = 90.00°, β = 90.00°, γ = 90.00°
Closest atoms and distances in Å follow each position.
Element x y z (fractional)
Sc 0.0000 0.0000 0.5000  2 N 2.26
Hf 0.0000 0.5000 0.0000  2 N 2.26
Hf 0.5000 0.0000 0.0000  2 N 2.26
Zr 0.5000 0.5000 0.5000  4 Sc 3.19, 8 Hf 3.20
N 0.0000 0.0000 0.0000  4 Hf 2.26, 2 Sc 2.26

Output
Calculated density, g cm⁻³: 9.13
Magnetization, μB per formula unit: 0.00


*b*
The following is a DFT calculation (GGA-PBE) of crystalline Hf2ZrScN at its relaxed geometry.

a = 4.4774 Å, b = 4.4774 Å, c = 4.6665 Å
α = 90.00°, β = 90.00°, γ = 90.00°
Closest atoms and distances in Å follow each position.
Element x y z (fractional)
Sc 0.5000 0.5000 0.5000  4 Zr 3.17, 8 Hf 3.23
Hf 0.0000 0.5000 0.0000  2 N 2.24
Hf 0.5000 0.0000 0.0000  2 N 2.24
Zr 0.0000 0.0000 0.5000  2 N 2.33
N 0.0000 0.0000 0.0000  4 Hf 2.24, 2 Zr 2.33

Output
Calculated density, g cm⁻³: 9.00
Magnetization, μB per formula unit: 0.00


The most stable arrangement is *b*, and the next structure is 1.8 kJ/mol of atoms less stable.


*a*
The following is a DFT calculation (GGA-PBE) of crystalline HfSe2N2 at its relaxed geometry.

a = 4.0623 Å, b = 4.0623 Å, c = 5.7860 Å
α = 90.00°, β = 90.00°, γ = 90.00°
Closest atoms and distances in Å follow each position.
Element x y z (fractional)
Hf 0.0000 0.0000 0.0000  4 N 2.03
Se 0.5000 0.5000 0.5000  4 Se 2.87
Se 0.0000 0.0000 0.5000  4 Se 2.87, 2 Hf 2.89
N 0.0000 0.5000 0.0000  2 Hf 2.03
N 0.5000 0.0000 0.0000  2 Hf 2.03

Output
Calculated density, g cm⁻³: 6.34
Magnetization, μB per formula unit: 0.00


*b*
The following is a DFT calculation (GGA-PBE) of crystalline HfSe2N2 at its relaxed geometry.

a = 4.0892 Å, b = 4.0892 Å, c = 4.2205 Å
α = 90.00°, β = 90.00°, γ = 90.00°
Closest atoms and distances in Å follow each position.
Element x y z (fractional)
Hf 0.5000 0.5000 0.5000  4 N 2.89, 8 Se 2.94
Se 0.0000 0.5000 0.0000  2 N 2.04
Se 0.5000 0.0000 0.0000  2 N 2.04
N 0.0000 0.0000 0.0000  4 Se 2.04, 2 N 2.11
N 0.0000 0.0000 0.5000  2 N 2.11

Output
Calculated density, g cm⁻³: 8.57
Magnetization, μB per formula unit: 0.00


The most stable arrangement is *a*, and the next structure is 49.4 kJ/mol of atoms less stable.


*a*
The following is a DFT calculation (GGA-PBE) of crystalline HfSe2N2 at its relaxed geometry.

a = 3.9132 Å, b = 3.9132 Å, c = 4.9024 Å
α = 90.00°, β = 90.00°, γ = 90.00°
Closest atoms and distances in Å follow each position.
Element x y z (fractional)
Hf 0.5000 0.5000 0.5000  4 Se 2.77
Se 0.0000 0.0000 0.0000  4 N 1.96
Se 0.0000 0.0000 0.5000  2 Se 2.45
N 0.0000 0.5000 0.0000  2 Se 1.96
N 0.5000 0.0000 0.0000  2 Se 1.96

Output
Calculated density, g cm⁻³: 8.06
Magnetization, μB per formula unit: 0.00


*b*
The following is a DFT calculation (GGA-PBE) of crystalline HfSe2N2 at its relaxed geometry.

a = 5.2370 Å, b = 5.2370 Å, c = 4.1921 Å
α = 90.00°, β = 90.00°, γ = 90.00°
Closest atoms and distances in Å follow each position.
Element x y z (fractional)
Hf 0.0000 0.0000 0.0000  2 N 2.10
Se 0.0000 0.5000 0.0000  2 Hf 2.62
Se 0.5000 0.0000 0.0000  2 Hf 2.62
N 0.5000 0.5000 0.5000  8 Se 3.35, 4 N 3.70
N 0.0000 0.0000 0.5000  2 Hf 2.10

Output
Calculated density, g cm⁻³: 5.26
Magnetization, μB per formula unit: 3.84


The most stable arrangement is *b*, and the next structure is 5.5 kJ/mol of atoms less stable.


*a*
The following is a DFT calculation (GGA-PBE) of crystalline HfSiSe2N at its relaxed geometry.

a = 5.0369 Å, b = 3.3312 Å, c = 5.0369 Å
α = 90.00°, β = 90.00°, γ = 90.00°
Closest atoms and distances in Å follow each position.
Element x y z (fractional)
Si 0.0000 0.0000 0.0000  2 N 1.67
Hf 0.5000 0.5000 0.5000  8 Se 3.02, 2 Hf 3.33
Se 0.0000 0.0000 0.5000  2 Si 2.52
Se 0.5000 0.0000 0.0000  2 Si 2.52
N 0.0000 0.5000 0.0000  2 Si 1.67

Output
Calculated density, g cm⁻³: 7.44
Magnetization, μB per formula unit: 0.00


*b*
The following is a DFT calculation (GGA-PBE) of crystalline HfSiSe2N at its relaxed geometry.

a = 5.2798 Å, b = 5.2798 Å, c = 3.9970 Å
α = 90.00°, β = 90.00°, γ = 90.00°
Closest atoms and distances in Å follow each position.
Element x y z (fractional)
Si 0.5000 0.5000 0.5000  8 Se 3.31
Hf 0.0000 0.0000 0.0000  2 N 2.00
Se 0.0000 0.5000 0.0000  2 Hf 2.64
Se 0.5000 0.0000 0.0000  2 Hf 2.64
N 0.0000 0.0000 0.5000  2 Hf 2.00

Output
Calculated density, g cm⁻³: 5.64
Magnetization, μB per formula unit: 0.67


The most stable arrangement is *a*, and the next structure is 17.2 kJ/mol of atoms less stable.